Density functional theory data (meta-GGA SCAN) for a PBEsol-optimized structure of AgSeBr2.

Properties
uncorrected formation energy = 0.30 eV/atom
offset from the most stable computed form = 265 meV/atom
calculated total energy = -22.29 eV/atom
space-group type = R-3m

Cell lengths 3.6401, 3.6401, 23.9753 Å; angles 90.00, 90.00, 120.00 degrees
With the nearest neighbours (Å) after each atom.
Fractional positions:
Ag (0.0000, 0.0000, 0.0000)  6 Br 2.72
Ag (0.3333, 0.6667, 0.6667)  6 Br 2.72
Ag (0.6667, 0.3333, 0.3333)  6 Br 2.72
Se (0.0000, 0.0000, 0.5000)  6 Br 3.09
Se (0.3333, 0.6667, 0.1667)  6 Br 3.09
Se (0.6667, 0.3333, 0.8333)  6 Br 3.09
Br (0.0000, 0.0000, 0.2613)  3 Ag 2.72
Br (0.0000, 0.0000, 0.7387)  3 Ag 2.72
Br (0.3333, 0.6667, 0.4054)  3 Ag 2.72
Br (0.3333, 0.6667, 0.9279)  3 Ag 2.72
Br (0.6667, 0.3333, 0.0721)  3 Ag 2.72
Br (0.6667, 0.3333, 0.5946)  3 Ag 2.72

Density functional theory data (meta-GGA SCAN) for a PBEsol-optimized structure of MgTl2In.

Properties
energy of formation = 0.0 eV per formula unit
calculated total energy = -45.76 eV/atom
space-group type = Immm

Cell lengths 3.7393, 5.3394, 10.3317 Å; angles 90.00, 90.00, 90.00 degrees
With the nearest neighbours (Å) after each atom.
Fractional positions:
Mg (0.0000, 0.0000, 0.0000)  4 Tl 3.14, 4 In 3.26
Mg (0.5000, 0.5000, 0.5000)  4 Tl 3.14, 4 In 3.26
Tl (0.0000, 0.5000, 0.2563)  2 Mg 3.14, 2 In 3.24, 4 Tl 3.26
Tl (0.0000, 0.5000, 0.7437)  2 Mg 3.14, 2 In 3.24, 4 Tl 3.26
Tl (0.5000, 0.0000, 0.2437)  2 Mg 3.14, 2 In 3.24, 4 Tl 3.26
Tl (0.5000, 0.0000, 0.7563)  2 Mg 3.14, 2 In 3.24, 4 Tl 3.26
In (0.0000, 0.0000, 0.5000)  4 Tl 3.24, 4 Mg 3.26
In (0.5000, 0.5000, 0.0000)  4 Tl 3.24, 4 Mg 3.26

Density functional theory data (meta-GGA SCAN) for a PBEsol-optimized structure of TmCoSi2.

Properties
uncorrected formation energy = -0.75 eV/atom
calculated total energy = -23.04 eV/atom
space-group type = Cmcm

Cell lengths 3.9176, 16.1518, 3.8917 Å; angles 90.00, 90.00, 90.00 degrees
With the nearest neighbours (Å) after each atom.
Fractional positions:
Tm (0.0000, 0.1085, 0.2500)  10 Si 2.96-3.13, 4 Co 2.98
Tm (0.0000, 0.8915, 0.7500)  10 Si 2.96-3.13, 4 Co 2.98
Tm (0.5000, 0.3915, 0.7500)  10 Si 2.96-3.13, 4 Co 2.98
Tm (0.5000, 0.6085, 0.2500)  10 Si 2.96-3.13, 4 Co 2.98
Co (0.0000, 0.3226, 0.2500)  5 Si 2.18-2.28
Co (0.0000, 0.6774, 0.7500)  5 Si 2.18-2.28
Co (0.5000, 0.1774, 0.7500)  5 Si 2.18-2.28
Co (0.5000, 0.8226, 0.2500)  5 Si 2.18-2.28
Si (0.0000, 0.2498, 0.7500)  4 Co 2.27-2.28
Si (0.0000, 0.4575, 0.2500)  1 Co 2.18, 2 Si 2.38
Si (0.0000, 0.5425, 0.7500)  1 Co 2.18, 2 Si 2.38
Si (0.0000, 0.7502, 0.2500)  4 Co 2.27-2.28
Si (0.5000, 0.0425, 0.7500)  1 Co 2.18, 2 Si 2.38
Si (0.5000, 0.2502, 0.2500)  4 Co 2.27-2.28
Si (0.5000, 0.7498, 0.7500)  4 Co 2.27-2.28
Si (0.5000, 0.9575, 0.2500)  1 Co 2.18, 2 Si 2.38

Which formula does entry 1 have? AgSeBr2

Look up the calculated total energy of the second one. -45.76 eV/atom

Look up the calculated total energy of the third one. -23.04 eV/atom

Please write out number 2 again, unchanged.
Density functional theory data (meta-GGA SCAN) for a PBEsol-optimized structure of MgTl2In.

Properties
energy of formation = 0.0 eV per formula unit
calculated total energy = -45.76 eV/atom
space-group type = Immm

Cell lengths 3.7393, 5.3394, 10.3317 Å; angles 90.00, 90.00, 90.00 degrees
With the nearest neighbours (Å) after each atom.
Fractional positions:
Mg (0.0000, 0.0000, 0.0000)  4 Tl 3.14, 4 In 3.26
Mg (0.5000, 0.5000, 0.5000)  4 Tl 3.14, 4 In 3.26
Tl (0.0000, 0.5000, 0.2563)  2 Mg 3.14, 2 In 3.24, 4 Tl 3.26
Tl (0.0000, 0.5000, 0.7437)  2 Mg 3.14, 2 In 3.24, 4 Tl 3.26
Tl (0.5000, 0.0000, 0.2437)  2 Mg 3.14, 2 In 3.24, 4 Tl 3.26
Tl (0.5000, 0.0000, 0.7563)  2 Mg 3.14, 2 In 3.24, 4 Tl 3.26
In (0.0000, 0.0000, 0.5000)  4 Tl 3.24, 4 Mg 3.26
In (0.5000, 0.5000, 0.0000)  4 Tl 3.24, 4 Mg 3.26